No. 1
Density functional theory data (PBE) for a relaxed Y2LuTh crystal.

Size of the total moment (μB/atom): 0.000
Energy relative to the lowest polymorph listed for this composition (eV per atom): 0.0090

Structure (CIF):
```
data_Y2LuTh
_cell_length_a 4.994
_cell_length_b 4.994
_cell_length_c 5.059
_cell_angle_alpha 90.00
_cell_angle_beta 90.00
_cell_angle_gamma 90.00
_space_group_name_H-M_alt 'P 4/m m m'
_space_group_IT_number 123
_space_group_name_Hall '-P 4 2'
loop_
_atom_site_label
_atom_site_type_symbol
_atom_site_fract_x
_atom_site_fract_y
_atom_site_fract_z
_atom_site_occupancy
Y1 Y 0.000 0.500 0.000 1
Lu1 Lu 0.000 0.000 0.500 1
Th1 Th 0.500 0.500 0.500 1
```


No. 2
Density functional theory data (PBE) for a relaxed Rb2InOs crystal.

Size of the total moment (μB/atom): 0.212

Structure (CIF):
```
data_Rb2InOs
_cell_length_a 4.251
_cell_length_b 4.251
_cell_length_c 24.409
_cell_angle_alpha 90.00
_cell_angle_beta 90.00
_cell_angle_gamma 90.00
_space_group_name_H-M_alt 'I -4 2 d'
_space_group_IT_number 122
_space_group_name_Hall 'I -4 2bw'
loop_
_atom_site_label
_atom_site_type_symbol
_atom_site_fract_x
_atom_site_fract_y
_atom_site_fract_z
_atom_site_occupancy
Rb1 Rb 0.246 0.250 0.125 1
In1 In 0.000 0.000 0.500 1
Os1 Os 0.000 0.000 0.000 1
```


No. 3
Density functional theory data (PBE) for a relaxed LiTmAg crystal.

Size of the total moment (μB/atom): 0.000
Energy relative to the lowest polymorph listed for this composition (eV per atom): 0.0661

Structure (CIF):
```
data_LiTmAg
_cell_length_a 4.6223
_cell_length_b 4.6223
_cell_length_c 3.4422
_cell_angle_alpha 90.00
_cell_angle_beta 90.00
_cell_angle_gamma 120.00
_space_group_name_H-M_alt 'P -6 m 2'
_space_group_IT_number 187
_space_group_name_Hall 'P -6 2'
loop_
_atom_site_label
_atom_site_type_symbol
_atom_site_fract_x
_atom_site_fract_y
_atom_site_fract_z
_atom_site_occupancy
Li1 Li 0.0000 0.0000 0.0000 1
Tm1 Tm 0.6667 0.3333 0.5000 1
Ag1 Ag 0.3333 0.6667 0.0000 1
```


No. 4
Density functional theory data (PBE) for a relaxed KHg2As crystal.

Size of the total moment (μB/atom): 0.000

Structure (CIF):
```
data_KHg2As
_cell_length_a 3.416
_cell_length_b 4.498
_cell_length_c 7.641
_cell_angle_alpha 90.00
_cell_angle_beta 102.86
_cell_angle_gamma 90.00
_space_group_name_H-M_alt 'P 1 m 1'
_space_group_IT_number 6
loop_
_space_group_symop_operation_xyz
'x,y,z'
'x,-y,z'
loop_
_atom_site_label
_atom_site_type_symbol
_atom_site_fract_x
_atom_site_fract_y
_atom_site_fract_z
_atom_site_occupancy
K1 K 0.000 0.000 0.000 1
Hg1 Hg 0.345 0.500 0.695 1
Hg2 Hg 0.727 0.000 0.461 1
As1 As 0.635 0.500 0.270 1
```


No. 5
Density functional theory data (PBE) for a relaxed VB2W crystal.

Size of the total moment (μB/atom): 0.000
Energy relative to the lowest polymorph listed for this composition (eV per atom): 0.8749

Structure (CIF):
```
data_VB2W
_cell_length_a 5.473
_cell_length_b 5.473
_cell_length_c 5.473
_cell_angle_alpha 90.00
_cell_angle_beta 90.00
_cell_angle_gamma 90.00
_space_group_name_H-M_alt 'F m -3 m'
_space_group_IT_number 225
_space_group_name_Hall '-F 4 2 3'
loop_
_atom_site_label
_atom_site_type_symbol
_atom_site_fract_x
_atom_site_fract_y
_atom_site_fract_z
_atom_site_occupancy
V1 V 0.000 0.000 0.000 1
B1 B 0.250 0.250 0.250 1
W1 W 0.000 0.000 0.500 1
```


No. 6
Density functional theory data (PBE) for a relaxed La2TlAgN crystal.

Uncorrected formation energy (eV per atom): -0.5329
Size of the total moment (μB/atom): 0.000

Structure (CIF):
```
data_La2TlAgN
_cell_length_a 5.093
_cell_length_b 5.093
_cell_length_c 4.645
_cell_angle_alpha 90.00
_cell_angle_beta 90.00
_cell_angle_gamma 90.00
_space_group_name_H-M_alt 'P 4/m m m'
_space_group_IT_number 123
_space_group_name_Hall '-P 4 2'
loop_
_atom_site_label
_atom_site_type_symbol
_atom_site_fract_x
_atom_site_fract_y
_atom_site_fract_z
_atom_site_occupancy
La1 La 0.000 0.500 0.000 1
Tl1 Tl 0.000 0.000 0.500 1
Ag1 Ag 0.500 0.500 0.500 1
N1 N 0.500 0.500 0.000 1
```


What E values result from the calculations? In sequence: -24.7 -42.9 -9.6 -6.7 -138.0 -26.1 eV for the cell shown.